(1)
Here is crystalline YZr3Si at its relaxed geometry from the Alexandria database. Energies are from GGA-PBE.

Output
**Final energy**: -29.66 eV for the cell shown
**Formation energy from raw total energies**: 1.5745 eV per atom
**Relative energy among the computed polymorphs**: 1529 meV/atom

Cell: 5.131 5.131 5.131 Å, 90.00 90.00 90.00°
Positions (direct):
Y 0.000 0.000 0.000
Si 0.500 0.500 0.500
Zr 0.000 0.500 0.000
Zr 0.000 0.000 0.500
Zr 0.500 0.000 0.000

(2)
Here is crystalline YZr2Si at its relaxed geometry from the Alexandria database. Energies are from GGA-PBE.

Output
**Final energy**: -29.33 eV for the cell shown
**Formation energy from raw total energies**: -0.0871 eV per atom
**Relative energy among the computed polymorphs**: 200 meV/atom

Cell: 9.478 9.478 9.478 Å, 20.84 20.84 20.84°
Positions (direct):
Si 0.504 0.504 0.504
Y 0.763 0.763 0.763
Zr 0.994 0.994 0.994
Zr 0.239 0.239 0.239

(3)
Here is crystalline Y2ZrSi at its relaxed geometry from the Alexandria database. Energies are from GGA-PBE.

Output
**Final energy**: -27.59 eV for the cell shown
**Formation energy from raw total energies**: -0.1726 eV per atom
**Relative energy among the computed polymorphs**: 120 meV/atom

Cell: 9.245 9.245 9.245 Å, 23.50 23.50 23.50°
Positions (direct):
Si 0.757 0.757 0.757
Y 0.024 0.024 0.024
Y 0.242 0.242 0.242
Zr 0.478 0.478 0.478

(4)
Here is crystalline YZr2Si at its relaxed geometry from the Alexandria database. Energies are from GGA-PBE.

Output
**Final energy**: -29.75 eV for the cell shown
**Formation energy from raw total energies**: -0.1926 eV per atom
**Relative energy among the computed polymorphs**: 95 meV/atom

Cell: 3.244 3.244 8.644 Å, 90.00 90.00 90.32°
Positions (direct):
Si 0.000 0.000 0.485
Y 0.500 0.500 0.710
Zr 0.000 0.000 0.025
Zr 0.500 0.500 0.281

(5)
Here is crystalline Y4ZrSi3 at its relaxed geometry from the Alexandria database. Energies are from GGA-PBE.

Output
**Final energy**: -112.85 eV for the cell shown
**Formation energy from raw total energies**: -0.7191 eV per atom

Cell: 8.347 8.347 6.211 Å, 90.00 90.00 120.00°
Positions (direct):
Y 0.667 0.333 0.000
Y 0.333 0.667 0.000
Y 0.000 0.755 0.256
Y 0.245 0.245 0.256
Y 0.755 0.000 0.256
Y 0.000 0.245 0.744
Y 0.755 0.755 0.744
Y 0.245 0.000 0.744
Zr 0.333 0.667 0.500
Zr 0.667 0.333 0.500
Si 0.000 0.399 0.277
Si 0.601 0.601 0.277
Si 0.399 0.000 0.277
Si 0.000 0.601 0.723
Si 0.399 0.399 0.723
Si 0.601 0.000 0.723

(6)
Here is crystalline Y2ZrSi at its relaxed geometry from the Alexandria database. Energies are from GGA-PBE.

Output
**Final energy**: -26.97 eV for the cell shown
**Formation energy from raw total energies**: -0.0171 eV per atom
**Relative energy among the computed polymorphs**: 275 meV/atom

Cell: 5.143 5.143 5.143 Å, 60.00 60.00 60.00°
Positions (direct):
Y 0.250 0.250 0.250
Y 0.750 0.750 0.750
Si 0.000 0.000 0.000
Zr 0.500 0.500 0.500

(7)
Here is crystalline Y2ZrSi at its relaxed geometry from the Alexandria database. Energies are from GGA-PBE.

Output
**Final energy**: -27.65 eV for the cell shown
**Formation energy from raw total energies**: -0.1878 eV per atom
**Relative energy among the computed polymorphs**: 104 meV/atom

Cell: 3.427 3.785 7.563 Å, 90.00 90.00 90.00°
Positions (direct):
Si 0.500 0.500 0.750
Y 0.000 0.000 0.965
Y 0.000 0.000 0.535
Zr 0.500 0.500 0.250

(8)
Here is crystalline YZr3Si at its relaxed geometry from the Alexandria database. Energies are from GGA-PBE.

Output
**Final energy**: -37.30 eV for the cell shown
**Formation energy from raw total energies**: 0.0459 eV per atom
**Relative energy among the computed polymorphs**: 0 meV/atom

Cell: 5.079 5.079 5.079 Å, 90.00 90.00 90.00°
Positions (direct):
Y 0.500 0.500 0.500
Si 0.000 0.000 0.000
Zr 0.000 0.500 0.000
Zr 0.000 0.000 0.500
Zr 0.500 0.000 0.000